(1)
The following is a DFT calculation (GGA-PBE) of crystalline BeV2Au2 at its relaxed geometry.

Calculated formation energy: 0.542 eV/atom
E above lowest polymorph: 108.6 meV/atom
Space group: I4/mmm, No. 139

a = 6.5221 Å, b = 6.5221 Å, c = 6.5221 Å
α = 146.41°, β = 146.41°, γ = 48.24°
Fractional positions:
Be  0.0000  0.0000  0.0000
V  0.4224  0.4224  0.0000
V  0.5776  0.5776  0.0000
Au  0.2500  0.7500  0.5000
Au  0.7500  0.2500  0.5000

(2)
The following is a DFT calculation (GGA-PBE) of crystalline Cr2AgRh at its relaxed geometry.

Calculated formation energy: 0.230 eV/atom
Space group: P4mm, No. 99

a = 2.9749 Å, b = 2.9749 Å, c = 6.5764 Å
α = 90.00°, β = 90.00°, γ = 90.00°
Fractional positions:
Cr  0.0000  0.0000  0.0000
Cr  0.5000  0.5000  0.2001
Ag  0.5000  0.5000  0.7185
Rh  0.0000  0.0000  0.4217

(3)
The following is a DFT calculation (GGA-PBE) of crystalline Zn2TcAu at its relaxed geometry.

Calculated formation energy: 0.087 eV/atom
E above lowest polymorph: 84.8 meV/atom
Space group: P2/m, No. 10

a = 2.7065 Å, b = 4.2858 Å, c = 5.3712 Å
α = 90.00°, β = 92.59°, γ = 90.00°
Fractional positions:
Zn  0.0886  0.0000  0.2243
Zn  0.9114  0.0000  0.7757
Tc  0.5000  0.5000  0.0000
Au  0.0000  0.5000  0.5000

(4)
The following is a DFT calculation (GGA-PBE) of crystalline Ba2CdO at its relaxed geometry.

E_form (uncorrected): -1186 meV/atom
E above lowest polymorph: 104.1 meV/atom
Space group: R3m, No. 160

a = 9.1946 Å, b = 9.1946 Å, c = 9.1946 Å
α = 25.32°, β = 25.32°, γ = 25.32°
Fractional positions:
Ba  0.0000  0.0000  0.0000
Ba  0.2150  0.2150  0.2150
Cd  0.4446  0.4446  0.4446
O  0.6150  0.6150  0.6150

no.,total moment (μB per cell)
1,0.0
2,1.3
3,0.0
4,0.0